# 1
Here is a relaxed LiZn2Cu crystal from Alexandria via LeMat-Bulk. Energies are from GGA-PBEsol.

Values from the calculation:
Total magnetization, μB/f.u.: 0.00
Energy of formation from the pure elements, eV per atom: -0.1360

The structure in CIF format:
```
data_LiZn2Cu
_space_group_name_H-M_alt 'I -4 m 2'
_space_group_IT_number 119
_space_group_name_Hall 'I -4 -2'
_cell_length_a 3.721
_cell_length_b 3.721
_cell_length_c 7.331
_cell_angle_alpha 90.00
_cell_angle_beta 90.00
_cell_angle_gamma 90.00
loop_
_atom_site_label
_atom_site_type_symbol
_atom_site_fract_x
_atom_site_fract_y
_atom_site_fract_z
Li1 Li 0.000 0.000 0.000
Zn1 Zn 0.000 0.000 0.500
Zn2 Zn 0.000 0.500 0.750
Cu1 Cu 0.000 0.500 0.250
```

***

# 2
Here is a relaxed LiZn2Cu crystal from Alexandria via LeMat-Bulk. Energies are from GGA-PBEsol.

Values from the calculation:
Total magnetization, μB/f.u.: 0.00
Energy of formation from the pure elements, eV per atom: -0.1337

The structure in CIF format:
```
data_LiZn2Cu
_space_group_name_H-M_alt 'P 4/m m m'
_space_group_IT_number 123
_space_group_name_Hall '-P 4 2'
_cell_length_a 3.901
_cell_length_b 3.901
_cell_length_c 3.327
_cell_angle_alpha 90.00
_cell_angle_beta 90.00
_cell_angle_gamma 90.00
loop_
_atom_site_label
_atom_site_type_symbol
_atom_site_fract_x
_atom_site_fract_y
_atom_site_fract_z
Li1 Li 0.000 0.000 0.000
Zn1 Zn 0.000 0.500 0.500
Cu1 Cu 0.500 0.500 0.000
```

***

# 3
Here is a relaxed Li2ZnCu crystal from Alexandria via LeMat-Bulk. Energies are from GGA-PBEsol.

Values from the calculation:
Total magnetization, μB/f.u.: 0.00
Energy of formation from the pure elements, eV per atom: -0.0602

The structure in CIF format:
```
data_Li2ZnCu
_space_group_name_H-M_alt 'I m m m'
_space_group_IT_number 71
_space_group_name_Hall '-I 2 2'
_cell_length_a 3.063
_cell_length_b 4.003
_cell_length_c 8.550
_cell_angle_alpha 90.00
_cell_angle_beta 90.00
_cell_angle_gamma 90.00
loop_
_atom_site_label
_atom_site_type_symbol
_atom_site_fract_x
_atom_site_fract_y
_atom_site_fract_z
Li1 Li 0.000 0.000 0.244
Zn1 Zn 0.000 0.500 0.000
Cu1 Cu 0.000 0.500 0.500
```

***

# 4
Here is a relaxed Li2ZnCu crystal from Alexandria via LeMat-Bulk. Energies are from GGA-PBEsol.

Values from the calculation:
Total magnetization, μB/f.u.: 0.00
Energy of formation from the pure elements, eV per atom: -0.0517

The structure in CIF format:
```
data_Li2ZnCu
_space_group_name_H-M_alt 'P 1 2/m 1'
_space_group_IT_number 10
_space_group_name_Hall '-P 2y'
_cell_length_a 2.542
_cell_length_b 4.278
_cell_length_c 4.909
_cell_angle_alpha 90.00
_cell_angle_beta 101.30
_cell_angle_gamma 90.00
loop_
_atom_site_label
_atom_site_type_symbol
_atom_site_fract_x
_atom_site_fract_y
_atom_site_fract_z
Li1 Li 0.235 0.000 0.256
Zn1 Zn 0.500 0.500 0.000
Cu1 Cu 0.000 0.500 0.500
```

***

# 5
Here is a relaxed LiZn4Cu crystal from Alexandria via LeMat-Bulk. Energies are from GGA-PBEsol.

Values from the calculation:
Total magnetization, μB/f.u.: 0.00
Energy of formation from the pure elements, eV per atom: -0.0576

The structure in CIF format:
```
data_LiZn4Cu
_space_group_name_H-M_alt 'F -4 3 m'
_space_group_IT_number 216
_space_group_name_Hall 'F -4 2 3'
_cell_length_a 6.938
_cell_length_b 6.938
_cell_length_c 6.938
_cell_angle_alpha 90.00
_cell_angle_beta 90.00
_cell_angle_gamma 90.00
loop_
_atom_site_label
_atom_site_type_symbol
_atom_site_fract_x
_atom_site_fract_y
_atom_site_fract_z
Li1 Li 0.000 0.000 0.000
Zn1 Zn 0.125 0.125 0.375
Cu1 Cu 0.250 0.250 0.750
```

***

# 6
Here is a relaxed LiZn2Cu crystal from Alexandria via LeMat-Bulk. Energies are from GGA-PBEsol.

Values from the calculation:
Total magnetization, μB/f.u.: 0.00
Energy of formation from the pure elements, eV per atom: -0.1158

The structure in CIF format:
```
data_LiZn2Cu
_space_group_name_H-M_alt 'P 1 m 1'
_space_group_IT_number 6
_space_group_name_Hall 'P -2y'
_cell_length_a 2.572
_cell_length_b 4.230
_cell_length_c 4.715
_cell_angle_alpha 90.00
_cell_angle_beta 95.43
_cell_angle_gamma 90.00
loop_
_atom_site_label
_atom_site_type_symbol
_atom_site_fract_x
_atom_site_fract_y
_atom_site_fract_z
Li1 Li 0.000 0.000 0.000
Zn1 Zn 0.512 0.000 0.513
Zn2 Zn 0.595 0.500 0.200
Cu1 Cu 0.099 0.500 0.704
```

***

# 7
Here is a relaxed Li2ZnCu crystal from Alexandria via LeMat-Bulk. Energies are from GGA-PBEsol.

Values from the calculation:
Total magnetization, μB/f.u.: 0.00
Energy of formation from the pure elements, eV per atom: -0.0569

The structure in CIF format:
```
data_Li2ZnCu
_space_group_name_H-M_alt 'P 4 m m'
_space_group_IT_number 99
_space_group_name_Hall 'P 4 -2'
_cell_length_a 2.996
_cell_length_b 2.996
_cell_length_c 6.252
_cell_angle_alpha 90.00
_cell_angle_beta 90.00
_cell_angle_gamma 90.00
loop_
_atom_site_label
_atom_site_type_symbol
_atom_site_fract_x
_atom_site_fract_y
_atom_site_fract_z
Li1 Li 0.000 0.000 0.000
Li2 Li 0.500 0.500 0.303
Zn1 Zn 0.000 0.000 0.556
Cu1 Cu 0.500 0.500 0.765
```

***

# 8
Here is a relaxed LiZn2Cu crystal from Alexandria via LeMat-Bulk. Energies are from GGA-PBEsol.

Values from the calculation:
Total magnetization, μB/f.u.: 0.00
Energy of formation from the pure elements, eV per atom: -0.1110

The structure in CIF format:
```
data_LiZn2Cu
_space_group_name_H-M_alt 'C 1 m 1'
_space_group_IT_number 8
_space_group_name_Hall 'C -2y'
_cell_length_a 8.733
_cell_length_b 2.583
_cell_length_c 4.600
_cell_angle_alpha 90.00
_cell_angle_beta 98.46
_cell_angle_gamma 90.00
loop_
_atom_site_label
_atom_site_type_symbol
_atom_site_fract_x
_atom_site_fract_y
_atom_site_fract_z
Li1 Li 0.000 0.000 0.000
Zn1 Zn 0.243 0.000 0.750
Zn2 Zn 0.496 0.000 0.488
Cu1 Cu 0.256 0.500 0.249
```

***

# 9
Here is a relaxed LiZnCu crystal from Alexandria via LeMat-Bulk. Energies are from GGA-PBEsol.

Values from the calculation:
Total magnetization, μB/f.u.: 0.00
Energy of formation from the pure elements, eV per atom: -0.0472
Relative energy among the computed polymorphs, eV/atom: 0.071

The structure in CIF format:
```
data_LiZnCu
_space_group_name_H-M_alt 'P 3 m 1'
_space_group_IT_number 156
_space_group_name_Hall 'P 3 -2"'
_cell_length_a 2.6112
_cell_length_b 2.6112
_cell_length_c 6.5039
_cell_angle_alpha 90.00
_cell_angle_beta 90.00
_cell_angle_gamma 120.00
loop_
_atom_site_label
_atom_site_type_symbol
_atom_site_fract_x
_atom_site_fract_y
_atom_site_fract_z
Li1 Li 0.0000 0.0000 0.0000
Zn1 Zn 0.3333 0.6667 0.6497
Cu1 Cu 0.6667 0.3333 0.3239
```

***

# 10
Here is a relaxed LiZn2Cu crystal from Alexandria via LeMat-Bulk. Energies are from GGA-PBEsol.

Values from the calculation:
Total magnetization, μB/f.u.: 0.00
Energy of formation from the pure elements, eV per atom: -0.1037

The structure in CIF format:
```
data_LiZn2Cu
_space_group_name_H-M_alt 'C 1 2/m 1'
_space_group_IT_number 12
_space_group_name_Hall '-C 2y'
_cell_length_a 5.193
_cell_length_b 7.801
_cell_length_c 2.572
_cell_angle_alpha 90.00
_cell_angle_beta 101.00
_cell_angle_gamma 90.00
loop_
_atom_site_label
_atom_site_type_symbol
_atom_site_fract_x
_atom_site_fract_y
_atom_site_fract_z
Li1 Li 0.000 0.000 0.000
Zn1 Zn 0.250 0.250 0.500
Cu1 Cu 0.000 0.500 0.000
```

***

# 11
Here is a relaxed Li2ZnCu crystal from Alexandria via LeMat-Bulk. Energies are from GGA-PBEsol.

Values from the calculation:
Total magnetization, μB/f.u.: 0.00
Energy of formation from the pure elements, eV per atom: -0.0465

The structure in CIF format:
```
data_Li2ZnCu
_space_group_name_H-M_alt 'P 4/m m m'
_space_group_IT_number 123
_space_group_name_Hall '-P 4 2'
_cell_length_a 2.623
_cell_length_b 2.623
_cell_length_c 7.693
_cell_angle_alpha 90.00
_cell_angle_beta 90.00
_cell_angle_gamma 90.00
loop_
_atom_site_label
_atom_site_type_symbol
_atom_site_fract_x
_atom_site_fract_y
_atom_site_fract_z
Li1 Li 0.000 0.000 0.237
Zn1 Zn 0.500 0.500 0.500
Cu1 Cu 0.500 0.500 0.000
```

***

# 12
Here is a relaxed LiZnCu crystal from Alexandria via LeMat-Bulk. Energies are from GGA-PBEsol.

Values from the calculation:
Total magnetization, μB/f.u.: 0.00
Energy of formation from the pure elements, eV per atom: -0.1185
Relative energy among the computed polymorphs, eV/atom: 0.000

The structure in CIF format:
```
data_LiZnCu
_space_group_name_H-M_alt 'I m m 2'
_space_group_IT_number 44
_space_group_name_Hall 'I 2 -2'
_cell_length_a 2.542
_cell_length_b 3.837
_cell_length_c 7.707
_cell_angle_alpha 90.00
_cell_angle_beta 90.00
_cell_angle_gamma 90.00
loop_
_atom_site_label
_atom_site_type_symbol
_atom_site_fract_x
_atom_site_fract_y
_atom_site_fract_z
Li1 Li 0.000 0.000 0.000
Zn1 Zn 0.000 0.000 0.673
Cu1 Cu 0.000 0.000 0.329
```

***

# 13
Here is a relaxed LiZn2Cu crystal from Alexandria via LeMat-Bulk. Energies are from GGA-PBEsol.

Values from the calculation:
Total magnetization, μB/f.u.: 0.00
Energy of formation from the pure elements, eV per atom: -0.1404

The structure in CIF format:
```
data_LiZn2Cu
_space_group_name_H-M_alt 'F -4 3 m'
_space_group_IT_number 216
_space_group_name_Hall 'F -4 2 3'
_cell_length_a 5.871
_cell_length_b 5.871
_cell_length_c 5.871
_cell_angle_alpha 90.00
_cell_angle_beta 90.00
_cell_angle_gamma 90.00
loop_
_atom_site_label
_atom_site_type_symbol
_atom_site_fract_x
_atom_site_fract_y
_atom_site_fract_z
Li1 Li 0.000 0.000 0.000
Zn1 Zn 0.000 0.000 0.500
Zn2 Zn 0.250 0.250 0.250
Cu1 Cu 0.250 0.250 0.750
```